[1]
First-principles (PBE-GGA) data for a relaxed structure of Sc2TaP, as listed in Alexandria.

```
Sc2TaP
1.0
4.3080 0.8014 1.5332
0.9544 3.9189 2.2985
0.9080 -0.1403 4.5505
Sc Ta P
2 1 1
direct
0.0000 0.0000 0.0000
0.2500 0.2500 0.2500
0.7500 0.7500 0.7500
0.5000 0.5000 0.5000
```

Computed properties:
Space-group type ... No. 216
VASP energy ... -0.27366 hartree per atom

[2]
First-principles (PBE-GGA) data for a relaxed structure of ScTa2P, as listed in Alexandria.

```
ScTa2P
1.0
-2.5795 0.9528 -3.7607
0.9116 -4.5651 -0.1826
-2.7327 -0.6144 1.7187
Sc Ta P
1 2 1
direct
0.5000 0.5000 0.5000
0.5000 0.0000 0.0000
0.0000 0.5000 0.0000
0.0000 0.0000 0.5000
```

Computed properties:
Space-group type ... No. 65
VASP energy ... -0.32638 hartree per atom

[3]
First-principles (PBE-GGA) data for a relaxed structure of Sc4TaP, as listed in Alexandria.

```
Sc4TaP
1.0
1.3731 3.1835 4.4288
-3.8292 1.0951 3.9714
0.4876 -2.3307 5.0956
Sc Ta P
4 1 1
direct
0.8710 0.3763 0.3763
0.3763 0.3763 0.8710
0.3763 0.8710 0.3763
0.3763 0.3763 0.3763
0.7500 0.7500 0.7500
0.0000 0.0000 0.0000
```

Computed properties:
Space-group type ... No. 216
VASP energy ... -0.24225 hartree per atom

[4]
First-principles (PBE-GGA) data for a relaxed structure of ScTaP2, as listed in Alexandria.

```
ScTaP2
1.0
-1.0162 -1.9853 -1.9943
2.8430 -0.8371 0.4098
-2.5119 -5.3146 6.5707
P Sc Ta
2 1 1
direct
0.0000 0.0000 0.9529
0.5000 0.5000 0.2862
0.0000 0.0000 0.4931
0.5000 0.5000 0.7678
```

Computed properties:
Space-group type ... No. 35
VASP energy ... -0.27034 hartree per atom

[5]
First-principles (PBE-GGA) data for a relaxed structure of ScTaP2, as listed in Alexandria.

```
ScTaP2
1.0
2.8400 0.0000 0.0000
0.0000 2.8400 0.0000
0.0000 0.0000 9.5175
P Sc Ta
2 1 1
direct
0.0000 0.0000 0.9515
0.5000 0.5000 0.2986
0.0000 0.0000 0.4927
0.5000 0.5000 0.7572
```

Computed properties:
Space-group type ... No. 99
VASP energy ... -0.26809 hartree per atom

[6]
First-principles (PBE-GGA) data for a relaxed structure of Sc2TaP, as listed in Alexandria.

```
Sc2TaP
1.0
3.2919 0.0000 0.0000
0.0000 3.2919 0.0000
0.0000 0.0000 7.2507
Sc Ta P
2 1 1
direct
0.0000 0.0000 0.9485
0.5000 0.5000 0.2881
0.0000 0.0000 0.5560
0.5000 0.5000 0.7074
```

Computed properties:
Space-group type ... No. 99
VASP energy ... -0.29043 hartree per atom

> Which value of VASP energy does entry 4 give?

-0.27034 hartree per atom